A relaxed structure of FeHg2Pb, computed with PBE.

Values from the calculation:
- energy (eV/atom) = -2.84
- magnetization (μB/atom) = 0.635

Cell lengths 3.1468, 3.1468, 9.5076 Å; angles 90.00, 90.00, 90.00 degrees
Closest atoms and distances in Å follow each position.
Space group P4mm (No. 99)
One atom of each set of equivalent atoms:
Fe: 0.0000 0.0000 0.0000 x1  4 Hg 2.79, 4 Pb 3.03
Hg: 0.0000 0.0000 0.4671 x1  4 Hg 3.15
Hg: 0.5000 0.5000 0.1775 x1  4 Fe 2.79
Pb: 0.5000 0.5000 0.7836 x1  4 Fe 3.03, 4 Pb 3.15